Entry 1:
# La3AsH PBEsol optimized geometry
# Total magnetic moment, μB/atom: 0.000
# Final energy, Ha/atom: -0.202
data_La3AsH
_chemical_formula_sum 'La3 As1 H1'
_symmetry_space_group_name_H-M 'P m -3 m'
_symmetry_Int_Tables_number 221
_symmetry_space_group_name_Hall '-P 4 2 3'
_cell_length_a 4.8255
_cell_length_b 4.8255
_cell_length_c 4.8255
_cell_angle_alpha 90.00
_cell_angle_beta 90.00
_cell_angle_gamma 90.00
loop_
_atom_site_label
_atom_site_type_symbol
_atom_site_fract_x
_atom_site_fract_y
_atom_site_fract_z
La1 La 0.0000 0.0000 0.5000
As1 As 0.5000 0.5000 0.5000
H1 H 0.0000 0.0000 0.0000

Entry 2:
# LaRhBr2 PBEsol optimized geometry
# Total magnetic moment, μB/atom: 0.140
# Final energy, Ha/atom: -0.175
# E_form (uncorrected), meV/atom: -456
data_LaRhBr2
_chemical_formula_sum 'La1 Rh1 Br2'
_symmetry_space_group_name_H-M 'P 4/m m m'
_symmetry_Int_Tables_number 123
_symmetry_space_group_name_Hall '-P 4 2'
_cell_length_a 3.6734
_cell_length_b 3.6734
_cell_length_c 6.5142
_cell_angle_alpha 90.00
_cell_angle_beta 90.00
_cell_angle_gamma 90.00
loop_
_atom_site_label
_atom_site_type_symbol
_atom_site_fract_x
_atom_site_fract_y
_atom_site_fract_z
La1 La 0.0000 0.0000 0.0000
Rh1 Rh 0.0000 0.0000 0.5000
Br1 Br 0.5000 0.5000 0.2525

Entry 3:
# BeCuAg2 PBEsol optimized geometry
# Total magnetic moment, μB/atom: 0.000
# Final energy, Ha/atom: -0.134
# Energy relative to the elements, eV per atom: 0.083
data_BeCuAg2
_chemical_formula_sum 'Be2 Cu2 Ag4'
_symmetry_space_group_name_H-M 'I m m 2'
_symmetry_Int_Tables_number 44
_symmetry_space_group_name_Hall 'I 2 -2'
_cell_length_a 2.8686
_cell_length_b 4.2617
_cell_length_c 8.5983
_cell_angle_alpha 90.00
_cell_angle_beta 90.00
_cell_angle_gamma 90.00
loop_
_atom_site_label
_atom_site_type_symbol
_atom_site_fract_x
_atom_site_fract_y
_atom_site_fract_z
Be1 Be 0.0000 0.0000 0.0000
Cu1 Cu 0.0000 0.5000 0.7028
Ag1 Ag 0.0000 0.0000 0.4825
Ag2 Ag 0.0000 0.5000 0.2681

Entry 4:
# AlHgPb2 PBEsol optimized geometry
# Total magnetic moment, μB/atom: 0.000
# Final energy, Ha/atom: -0.113
# Energy relative to the elements, eV per atom: 0.088
data_AlHgPb2
_chemical_formula_sum 'Al3 Hg3 Pb6'
_symmetry_space_group_name_H-M 'R 3 m'
_symmetry_Int_Tables_number 160
_symmetry_space_group_name_Hall 'R 3 -2"'
_cell_length_a 3.4355
_cell_length_b 3.4355
_cell_length_c 29.4887
_cell_angle_alpha 90.00
_cell_angle_beta 90.00
_cell_angle_gamma 120.00
loop_
_atom_site_label
_atom_site_type_symbol
_atom_site_fract_x
_atom_site_fract_y
_atom_site_fract_z
Al1 Al 0.0000 0.0000 0.0000
Hg1 Hg 0.0000 0.0000 0.7329
Pb1 Pb 0.0000 0.0000 0.2533
Pb2 Pb 0.0000 0.0000 0.4851

Entry 5:
# LaTaSi2 PBEsol optimized geometry
# Total magnetic moment, μB/atom: 0.000
# Final energy, Ha/atom: -0.273
# E_form (uncorrected), meV/atom: -74
data_LaTaSi2
_chemical_formula_sum 'La1 Ta1 Si2'
_symmetry_space_group_name_H-M 'P 4 m m'
_symmetry_Int_Tables_number 99
_symmetry_space_group_name_Hall 'P 4 -2'
_cell_length_a 3.3262
_cell_length_b 3.3262
_cell_length_c 7.0752
_cell_angle_alpha 90.00
_cell_angle_beta 90.00
_cell_angle_gamma 90.00
loop_
_atom_site_label
_atom_site_type_symbol
_atom_site_fract_x
_atom_site_fract_y
_atom_site_fract_z
La1 La 0.0000 0.0000 0.0000
Ta1 Ta 0.5000 0.5000 0.6636
Si1 Si 0.0000 0.0000 0.4928
Si2 Si 0.5000 0.5000 0.3076

Entry 6:
# InW3 PBEsol optimized geometry
# Total magnetic moment, μB/atom: 0.000
# Final energy, Ha/atom: -0.390
# Energy relative to the elements, eV per atom: 0.493
data_InW3
_chemical_formula_sum 'In3 W9'
_symmetry_space_group_name_H-M 'R -3 m'
_symmetry_Int_Tables_number 166
_symmetry_space_group_name_Hall '-R 3 2"'
_cell_length_a 9.0983
_cell_length_b 9.0983
_cell_length_c 2.7663
_cell_angle_alpha 90.00
_cell_angle_beta 90.00
_cell_angle_gamma 120.00
loop_
_atom_site_label
_atom_site_type_symbol
_atom_site_fract_x
_atom_site_fract_y
_atom_site_fract_z
In1 In 0.0000 0.0000 0.0000
W1 W 0.0000 0.5000 0.0000

Q: What is the formula in the sixth record?
A: InW3

Q: Among the records above, which one has the highest total magnetic moment?
A: LaRhBr2